[1]
A relaxed K4Ce3AlO8 crystal, computed with PBE.

```
data_K4Ce3AlO8
_chemical_formula_sum 'K12 Ce9 Al3 O24'
_symmetry_space_group_name_H-M 'R -3 m'
_symmetry_Int_Tables_number 166
_symmetry_space_group_name_Hall '-R 3 2"'
_cell_length_a 6.9590
_cell_length_b 6.9590
_cell_length_c 18.8302
_cell_angle_alpha 90.00
_cell_angle_beta 90.00
_cell_angle_gamma 120.00
loop_
_atom_site_label
_atom_site_type_symbol
_atom_site_fract_x
_atom_site_fract_y
_atom_site_fract_z
_atom_site_occupancy
K1 K 0.0000 0.0000 0.0000 1
K2 K 0.0000 0.5000 0.0000 1
Ce1 Ce 0.0000 0.5000 0.5000 1
Al1 Al 0.0000 0.0000 0.5000 1
O1 O 0.0000 0.0000 0.2343 1
O2 O 0.0400 0.5200 0.2249 1
```

## Properties
DOS at the Fermi energy in states/eV/cell: 25.65
Raw total energy in eV/atom: -6.511


[2]
A relaxed K2CeAl2O6 crystal, computed with PBE.

```
data_K2CeAl2O6
_chemical_formula_sum 'K6 Ce3 Al6 O18'
_symmetry_space_group_name_H-M 'R -3 m'
_symmetry_Int_Tables_number 166
_symmetry_space_group_name_Hall '-R 3 2"'
_cell_length_a 6.0174
_cell_length_b 6.0174
_cell_length_c 18.3508
_cell_angle_alpha 90.00
_cell_angle_beta 90.00
_cell_angle_gamma 120.00
loop_
_atom_site_label
_atom_site_type_symbol
_atom_site_fract_x
_atom_site_fract_y
_atom_site_fract_z
_atom_site_occupancy
K1 K 0.0000 0.0000 0.2012 1
Ce1 Ce 0.0000 0.0000 0.0000 1
Al1 Al 0.0000 0.0000 0.4086 1
O1 O 0.0054 0.5027 0.2566 1
```

## Properties
DOS at the Fermi energy in states/eV/cell: 0.00
Raw total energy in eV/atom: -6.653


[3]
A relaxed KCe2AlO5 crystal, computed with PBE.

```
data_KCe2AlO5
_chemical_formula_sum 'K4 Ce8 Al4 O20'
_symmetry_space_group_name_H-M 'I 4/m c m'
_symmetry_Int_Tables_number 140
_symmetry_space_group_name_Hall '-I 4 2c'
_cell_length_a 6.8403
_cell_length_b 6.8403
_cell_length_c 11.1088
_cell_angle_alpha 90.00
_cell_angle_beta 90.00
_cell_angle_gamma 90.00
loop_
_atom_site_label
_atom_site_type_symbol
_atom_site_fract_x
_atom_site_fract_y
_atom_site_fract_z
_atom_site_occupancy
K1 K 0.0000 0.0000 0.2500 1
Ce1 Ce 0.1843 0.3157 0.0000 1
Al1 Al 0.0000 0.5000 0.2500 1
O1 O 0.0000 0.0000 0.0000 1
O2 O 0.1346 0.3654 0.3603 1
```

## Properties
DOS at the Fermi energy in states/eV/cell: 47.20
Raw total energy in eV/atom: -7.492


[4]
A relaxed K2CeAlSi4O12 crystal, computed with PBE.

```
data_K2CeAlSi4O12
_chemical_formula_sum 'K16 Ce8 Al8 Si32 O96'
_symmetry_space_group_name_H-M 'C 1 2/c 1'
_symmetry_Int_Tables_number 15
_cell_length_a 27.1639
_cell_length_b 7.4610
_cell_length_c 15.0969
_cell_angle_alpha 90.00
_cell_angle_beta 123.53
_cell_angle_gamma 90.00
loop_
_symmetry_equiv_pos_as_xyz
'x,y,z'
'-x,-y,-z'
'-x,y,-z+1/2'
'x,-y,z+1/2'
'x+1/2,y+1/2,z'
'-x+1/2,-y+1/2,-z'
'-x+1/2,y+1/2,-z+1/2'
'x+1/2,-y+1/2,z+1/2'
loop_
_atom_site_label
_atom_site_type_symbol
_atom_site_fract_x
_atom_site_fract_y
_atom_site_fract_z
_atom_site_occupancy
K1 K 0.0387 0.2366 0.4657 1
K2 K 0.1932 0.0052 0.9750 1
Ce1 Ce 0.2311 0.2120 0.7502 1
Al1 Al 0.0713 0.1874 0.7290 1
Si1 Si 0.0612 0.2641 0.9223 1
Si2 Si 0.1175 0.1453 0.1598 1
Si3 Si 0.1577 0.4808 0.2910 1
Si4 Si 0.1632 0.4679 0.5041 1
O1 O 0.0084 0.3011 0.6280 1
O2 O 0.0733 0.1468 0.8454 1
O3 O 0.0748 0.0162 0.1756 1
O4 O 0.0882 0.1420 0.0304 1
O5 O 0.0936 0.4613 0.9501 1
O6 O 0.1098 0.3511 0.1919 1
O7 O 0.1353 0.3107 0.7643 1
O8 O 0.1666 0.4043 0.4012 1
O9 O 0.1698 0.2875 0.5697 1
O10 O 0.1863 0.0862 0.2246 1
O11 O 0.2103 0.3728 0.0691 1
O12 O 0.2211 0.4840 0.3036 1
```

## Properties
DOS at the Fermi energy in states/eV/cell: 29.68
Raw total energy in eV/atom: -7.499


Number 1: raw formation energy -2411 meV per atom. Number 2: raw formation energy -2529 meV per atom. Number 3: raw formation energy -2881 meV per atom. Number 4: raw formation energy -2846 meV per atom.